Here is an optimized crystal structure of ScPaTiTc from Alexandria. Energies are from PBE.

Unit cell a=4.758 b=4.758 c=4.758 alpha=60.00 beta=60.00 gamma=60.00
Sites, in units of the cell vectors:
Ti 0.000 0.000 0.000
Sc 0.750 0.750 0.750
Tc 0.500 0.500 0.500
Pa 0.250 0.250 0.250

Output
The value obtained for the density of states at the Fermi level is 3.54 states/eV/f.u. The formation energy is -0.13 eV per atom. Its symmetry is F-43m, No. 216. The calculation puts the spin magnetization at 0.000 Bohr magnetons per cell.